*P*
Computed, not measured: a relaxed structure of CeThNi at the PBE-GGA level of DFT.

POSCAR file:
```
CeThNi
1.0
5.326 -1.774 0.000
5.326 1.774 0.000
-1.160 0.000 7.792
Ce Th Ni
2 2 2
Direct
0.122 0.122 0.440
0.878 0.878 0.560
0.377 0.377 0.157
0.623 0.623 0.843
0.328 0.328 0.807
0.672 0.672 0.193
```

* N(E_F): 9.3 states/eV per cell
* total magnetization: 0.000 μB/f.u.

---

*Q*
Computed, not measured: a relaxed structure of CeThNi at the PBE-GGA level of DFT.

POSCAR file:
```
CeThNi
1.0
4.542 0.000 0.000
-2.271 3.933 0.000
0.000 0.000 3.887
Ce Th Ni
1 1 1
Direct
0.000 0.000 0.000
0.667 0.333 0.622
0.333 0.667 0.301
```

* N(E_F): 3.8 states/eV per cell
* total magnetization: 0.000 μB/f.u.

---

Relative to the most stable structure, the computed energies are *P* 0.0; *Q* 5.9, all in kJ/mol of atoms.

---

*P*
Computed, not measured: a relaxed structure of CeTiNi at the PBE-GGA level of DFT.

POSCAR file:
```
CeTiNi
1.0
0.000 3.318 5.856
3.053 0.000 5.856
3.053 3.318 0.000
Ce Ti Ni
2 2 2
Direct
0.204 0.796 0.204
0.796 0.204 0.796
0.250 0.250 0.250
0.750 0.750 0.750
0.341 0.341 0.659
0.659 0.659 0.341
```

* N(E_F): 10.0 states/eV per cell
* total magnetization: 0.449 μB/f.u.

---

*Q*
Computed, not measured: a relaxed structure of CeTiNi at the PBE-GGA level of DFT.

POSCAR file:
```
CeTiNi
1.0
4.146 0.000 0.000
-2.073 3.591 0.000
0.000 0.000 4.099
Ce Ti Ni
1 1 1
Direct
0.000 0.000 0.000
0.333 0.667 0.500
0.667 0.333 0.500
```

* N(E_F): 6.4 states/eV per cell
* total magnetization: 0.030 μB/f.u.

---

Relative to the most stable structure, the computed energies are *P* 4.1; *Q* 0.0, all in kJ/mol of atoms.

---

*P*
Computed, not measured: a relaxed structure of Ce2TlNi at the PBE-GGA level of DFT.

POSCAR file:
```
Ce2TlNi
1.0
1.906 1.101 8.546
-1.906 1.101 8.546
0.000 -2.201 8.546
Ce Tl Ni
2 1 1
Direct
0.232 0.232 0.232
0.768 0.768 0.768
0.000 0.000 0.000
0.500 0.500 0.500
```

* N(E_F): 10.0 states/eV per cell
* total magnetization: 1.375 μB/f.u.

---

*Q*
Computed, not measured: a relaxed structure of Ce2TlNi at the PBE-GGA level of DFT.

POSCAR file:
```
Ce2TlNi
1.0
3.593 0.000 0.000
0.000 3.593 0.000
0.000 0.000 7.434
Ce Tl Ni
2 1 1
Direct
0.000 0.000 0.192
0.000 0.000 0.808
0.500 0.500 0.500
0.500 0.500 0.000
```

* N(E_F): 7.6 states/eV per cell
* total magnetization: 0.961 μB/f.u.

---

Relative to the most stable structure, the computed energies are *P* 8.8; *Q* 0.0, all in kJ/mol of atoms.

---

*P*
Computed, not measured: a relaxed structure of Ce2TmNi at the PBE-GGA level of DFT.

POSCAR file:
```
Ce2TmNi
1.0
3.554 0.000 0.000
0.000 3.554 0.000
0.000 0.000 7.896
Ce Tm Ni
2 1 1
Direct
0.000 0.000 0.187
0.000 0.000 0.813
0.500 0.500 0.500
0.500 0.500 0.000
```

* N(E_F): 9.8 states/eV per cell
* total magnetization: 0.001 μB/f.u.

---

*Q*
Computed, not measured: a relaxed structure of Ce2TmNi at the PBE-GGA level of DFT.

POSCAR file:
```
Ce2TmNi
1.0
1.801 1.040 9.233
-1.801 1.040 9.233
0.000 -2.080 9.233
Ce Tm Ni
2 1 1
Direct
0.232 0.232 0.232
0.768 0.768 0.768
0.000 0.000 0.000
0.500 0.500 0.500
```

* N(E_F): 8.5 states/eV per cell
* total magnetization: 0.804 μB/f.u.

---

Relative to the most stable structure, the computed energies are *P* 0.0; *Q* 4.3, all in kJ/mol of atoms.

---

*P*
Computed, not measured: a relaxed structure of CeY2Ni at the PBE-GGA level of DFT.

POSCAR file:
```
CeY2Ni
1.0
6.842 0.000 0.000
0.000 9.667 0.000
0.000 0.000 6.396
Ce Y Ni
4 8 4
Direct
0.040 0.250 0.151
0.460 0.750 0.651
0.540 0.250 0.349
0.960 0.750 0.849
0.176 0.067 0.673
0.176 0.433 0.673
0.324 0.567 0.173
0.324 0.933 0.173
0.676 0.067 0.827
0.676 0.433 0.827
0.824 0.567 0.327
0.824 0.933 0.327
0.124 0.750 0.459
0.376 0.250 0.959
0.624 0.750 0.041
0.876 0.250 0.541
```

* N(E_F): 32.3 states/eV per cell
* total magnetization: 1.032 μB/f.u.

---

*Q*
Computed, not measured: a relaxed structure of CeY2Ni at the PBE-GGA level of DFT.

POSCAR file:
```
CeY2Ni
1.0
1.745 1.007 10.471
-1.745 1.007 10.471
0.000 -2.015 10.471
Ce Y Ni
1 2 1
Direct
0.000 0.000 0.000
0.109 0.109 0.109
0.891 0.891 0.891
0.500 0.500 0.500
```

* N(E_F): 8.3 states/eV per cell
* total magnetization: 1.015 μB/f.u.

---

*R*
Computed, not measured: a relaxed structure of CeY2Ni at the PBE-GGA level of DFT.

POSCAR file:
```
CeY2Ni
1.0
3.422 0.000 0.000
0.000 3.422 0.000
0.000 0.000 8.758
Ce Y Ni
1 2 1
Direct
0.000 0.000 0.000
0.500 0.500 0.313
0.500 0.500 0.687
0.000 0.000 0.500
```

* N(E_F): 6.7 states/eV per cell
* total magnetization: 1.227 μB/f.u.

---

Relative to the most stable structure, the computed energies are *P* 0.0; *Q* 29.3; *R* 5.9, all in kJ/mol of atoms.

---

*P*
Computed, not measured: a relaxed structure of CeZn2Ni3 at the PBE-GGA level of DFT.

POSCAR file:
```
CeZn2Ni3
1.0
4.487 -4.204 0.000
4.487 4.204 0.000
0.000 0.000 5.030
Ce Zn Ni
2 4 6
Direct
0.232 0.768 0.750
0.768 0.232 0.250
0.263 0.263 0.000
0.263 0.263 0.500
0.737 0.737 0.000
0.737 0.737 0.500
0.049 0.566 0.250
0.434 0.951 0.250
0.443 0.557 0.250
0.557 0.443 0.750
0.566 0.049 0.750
0.951 0.434 0.750
```

* N(E_F): 9.7 states/eV per cell
* total magnetization: 0.079 μB/f.u.

---

*Q*
Computed, not measured: a relaxed structure of CeZn2Ni3 at the PBE-GGA level of DFT.

POSCAR file:
```
CeZn2Ni3
1.0
5.182 0.000 0.000
-2.591 4.488 0.000
0.000 0.000 3.910
Ce Zn Ni
1 2 3
Direct
0.000 0.000 0.000
0.333 0.667 0.000
0.667 0.333 0.000
0.000 0.500 0.500
0.500 0.000 0.500
0.500 0.500 0.500
```

* N(E_F): 6.6 states/eV per cell
* total magnetization: 0.375 μB/f.u.

---

Relative to the most stable structure, the computed energies are *P* 3.3; *Q* 0.0, all in kJ/mol of atoms.